Below is a relaxed structure of Ac2Ga6CoAu, with properties calculated at the PBE-GGA level.

Calculated values
Crystal system = monoclinic
ΔE_f = -394 meV per atom
Magnetization = 0.00 μB/f.u.
Density of states at the Fermi level = 0.675 states/eV per atom

Geometry as CIF:
```
data_Ac2Ga6CoAu
_chemical_formula_sum 'Ac2 Ga6 Co1 Au1'
_space_group_name_H-M_alt 'P 1'
_space_group_IT_number 1
_cell_length_a 6.654
_cell_length_b 6.654
_cell_length_c 7.990
_cell_angle_alpha 124.44
_cell_angle_beta 124.44
_cell_angle_gamma 53.72
loop_
_space_group_symop_operation_xyz
'x,y,z'
loop_
_atom_site_label
_atom_site_type_symbol
_atom_site_fract_x
_atom_site_fract_y
_atom_site_fract_z
Ac1 Ac 0.225 0.225 0.159
Ac2 Ac 0.775 0.775 0.841
Ga1 Ga 0.242 0.242 0.619
Ga2 Ga 0.248 0.687 0.677
Ga3 Ga 0.313 0.752 0.323
Ga4 Ga 0.687 0.248 0.677
Ga5 Ga 0.752 0.313 0.323
Ga6 Ga 0.758 0.758 0.381
Co1 Co 0.000 0.000 0.500
Au1 Au 0.500 0.500 0.000
```